(1)
Cs7Cu6F19 after structural relaxation. Source: the Alexandria database, functional PBEsol.

Output
D(E_F)   1.77 states/eV per cell
Final energy   -4.275 eV per atom

a b c (Å): 6.1494 11.3355 15.7319
angles (deg): 97.32 90.00 90.00
Last column: nearest neighbours and their distance in Å.
Fractional positions:
Cs (0.4936, 0.0526, 0.3487)  10 F 3.02-3.18
Cs (0.5077, 0.5928, 0.7064)  12 F 3.03-3.35
Cs (0.4923, 0.4072, 0.2936)  12 F 3.03-3.35
Cs (0.9936, 0.9474, 0.1513)  10 F 3.02-3.18
Cs (0.5017, 0.1572, 0.0658)  9 F 2.92-3.23
Cs (0.0017, 0.8428, 0.4342)  9 F 2.92-3.23
Cs (0.9923, 0.5928, 0.2064)  12 F 3.03-3.35
Cs (0.5000, 0.5000, 0.0000)  12 F 3.00-3.25
Cs (0.4983, 0.8428, 0.9342)  9 F 2.92-3.23
Cs (0.0064, 0.0526, 0.8487)  10 F 3.02-3.18
Cs (0.0077, 0.4072, 0.7936)  12 F 3.03-3.35
Cs (0.0000, 0.5000, 0.5000)  12 F 3.00-3.25
Cs (0.9983, 0.1572, 0.5658)  9 F 2.92-3.23
Cs (0.5064, 0.9474, 0.6513)  10 F 3.02-3.18
Cu (0.5028, 0.6738, 0.4874)  4 F 1.90-2.00
Cu (0.5021, 0.2717, 0.6782)  4 F 1.89-1.96
Cu (0.0028, 0.3262, 0.0126)  4 F 1.90-2.00
Cu (0.9979, 0.2717, 0.1782)  4 F 1.89-1.96
Cu (0.4972, 0.3262, 0.5126)  4 F 1.90-2.00
Cu (0.9948, 0.2332, 0.3477)  4 F 1.88-2.04
Cu (0.4948, 0.7668, 0.1523)  4 F 1.88-2.04
Cu (0.0021, 0.7283, 0.8218)  4 F 1.89-1.96
Cu (0.5052, 0.2332, 0.8477)  4 F 1.88-2.04
Cu (0.9972, 0.6738, 0.9874)  4 F 1.90-2.00
Cu (0.4979, 0.7283, 0.3218)  4 F 1.89-1.96
Cu (0.0052, 0.7668, 0.6523)  4 F 1.88-2.04
F (0.6988, 0.6397, 0.3870)  2 Cu 1.96-1.99
F (0.2320, 0.2776, 0.4266)  2 Cu 1.94-2.15
F (0.7260, 0.3591, 0.6323)  1 Cu 1.89
F (0.2215, 0.7119, 0.0695)  1 Cu 1.90
F (0.0000, 0.5000, 0.0000)  2 Cu 2.00
F (0.7785, 0.2881, 0.9305)  1 Cu 1.90
F (0.5011, 0.3874, 0.8121)  1 Cu 1.90
F (0.7758, 0.8139, 0.7762)  1 Cu 1.89
F (0.4989, 0.6126, 0.1879)  1 Cu 1.90
F (0.7242, 0.8139, 0.2762)  1 Cu 1.89
F (0.7740, 0.3591, 0.1323)  1 Cu 1.89
F (0.7033, 0.1872, 0.7447)  2 Cu 1.95-2.04
F (0.8012, 0.6397, 0.8870)  2 Cu 1.96-1.99
F (0.9989, 0.3874, 0.3121)  1 Cu 1.90
F (0.7215, 0.2881, 0.4305)  1 Cu 1.90
F (0.2242, 0.1861, 0.2238)  1 Cu 1.89
F (0.0011, 0.6126, 0.6879)  1 Cu 1.90
F (0.5066, 0.0766, 0.8750)  1 Cu 1.88
F (0.2680, 0.2776, 0.9266)  2 Cu 1.94-2.15
F (0.0066, 0.9234, 0.6250)  1 Cu 1.88
F (0.4972, 0.8375, 0.4599)  1 Cu 1.96
F (0.7967, 0.1872, 0.2447)  2 Cu 1.95-2.04
F (0.9934, 0.0766, 0.3750)  1 Cu 1.88
F (0.3012, 0.3603, 0.6130)  2 Cu 1.96-1.99
F (0.2967, 0.8128, 0.2553)  2 Cu 1.95-2.04
F (0.2033, 0.8128, 0.7553)  2 Cu 1.95-2.04
F (0.1988, 0.3603, 0.1130)  2 Cu 1.96-1.99
F (0.4934, 0.9234, 0.1250)  1 Cu 1.88
F (0.2740, 0.6409, 0.3677)  1 Cu 1.89
F (0.2785, 0.7119, 0.5695)  1 Cu 1.90
F (0.7320, 0.7224, 0.0734)  2 Cu 1.94-2.15
F (0.7680, 0.7224, 0.5734)  2 Cu 1.94-2.15
F (0.2758, 0.1861, 0.7238)  1 Cu 1.89
F (0.0028, 0.8375, 0.9599)  1 Cu 1.96
F (0.2260, 0.6409, 0.8677)  1 Cu 1.89
F (0.9972, 0.1625, 0.0401)  1 Cu 1.96
F (0.5000, 0.5000, 0.5000)  2 Cu 2.00
F (0.5028, 0.1625, 0.5401)  1 Cu 1.96

(2)
KSc2Au after structural relaxation. Source: the Alexandria database, functional PBEsol.

Output
D(E_F)   5.33 states/eV per cell
Energy relative to the lowest polymorph listed for this composition   10.11 kJ per mole of atoms

a b c (Å): 3.7205 3.7205 10.4124
angles (deg): 79.71 79.71 60.00
Last column: nearest neighbours and their distance in Å.
Fractional positions:
Au (0.5000, 0.5000, 0.5000)  6 Sc 2.71
K (0.0000, 0.0000, 0.0000)  6 K 3.72, 6 Sc 4.06
Sc (0.2205, 0.2205, 0.3384)  3 Au 2.71
Sc (0.7795, 0.7795, 0.6616)  3 Au 2.71

(3)
P4S6O3 after structural relaxation. Source: the Alexandria database, functional PBEsol.

Output
D(E_F)   0.00 states/eV per cell
Final energy   -5.759 eV per atom

a b c (Å): 6.5797 7.2911 12.3989
angles (deg): 90.00 90.00 103.70
Last column: nearest neighbours and their distance in Å.
Fractional positions:
P (0.8200, 0.1867, 0.1305)  2 O 1.63
P (0.7926, 0.9641, 0.7500)  3 S 2.13
P (0.1800, 0.8133, 0.6305)  2 O 1.63
P (0.1800, 0.8133, 0.8695)  2 O 1.63
P (0.8200, 0.1867, 0.3695)  2 O 1.63
P (0.3015, 0.1737, 0.7500)  2 O 1.63
P (0.2074, 0.0359, 0.2500)  3 S 2.13
P (0.6985, 0.8263, 0.2500)  2 O 1.63
S (0.7111, 0.3084, 0.0174)  1 P 1.89
S (0.2889, 0.6916, 0.5174)  1 P 1.89
S (0.2889, 0.6916, 0.9826)  1 P 1.89
S (0.7111, 0.3084, 0.4826)  1 P 1.89
S (0.4724, 0.6101, 0.2500)  1 P 1.89
S (0.5276, 0.3899, 0.7500)  1 P 1.89
S (0.1327, 0.1841, 0.1130)  2 P 2.07-2.13
S (0.1327, 0.1841, 0.3870)  2 P 2.07-2.13
S (0.8673, 0.8159, 0.8870)  2 P 2.07-2.13
S (0.0088, 0.2326, 0.7500)  2 P 2.07-2.13
S (0.9912, 0.7674, 0.2500)  2 P 2.07-2.13
S (0.8673, 0.8159, 0.6130)  2 P 2.07-2.13
O (0.6968, 0.9671, 0.3515)  2 P 1.63
O (0.2002, 0.7260, 0.7500)  2 P 1.63
O (0.6968, 0.9671, 0.1485)  2 P 1.63
O (0.3032, 0.0329, 0.6485)  2 P 1.63
O (0.3032, 0.0329, 0.8515)  2 P 1.63
O (0.7998, 0.2740, 0.2500)  2 P 1.63